Tb3Nd3Mg (PBE, optimized geometry); calculated total energy = -0.3117 Ry per atom; magnetic moment = 0.02 μB per formula unit; DOS(E_F) = 10.9 states/eV/f.u.; formation energy = 10 kJ/mol of formula units
1.0
9.599 0.000 0.000
-4.799 8.313 0.000
0.000 0.000 5.684
Tb Nd Mg
6 6 2
Direct
0.053 0.817 0.250
0.183 0.236 0.250
0.236 0.053 0.750
0.764 0.947 0.250
0.817 0.764 0.750
0.947 0.183 0.750
0.102 0.630 0.750
0.370 0.472 0.750
0.472 0.102 0.250
0.528 0.898 0.750
0.630 0.528 0.250
0.898 0.370 0.250
0.333 0.667 0.250
0.667 0.333 0.750